[1]
# AgHg2RhPb

A geometry-optimized AgHg2RhPb structure (GGA-PBE, the Alexandria database).

Properties
Its total energy is -12.45 eV/f.u. As for the crystal system: tetragonal.

Geometry as CIF:
```
data_AgHg2RhPb
_cell_length_a 5.1529
_cell_length_b 5.1529
_cell_length_c 5.1769
_cell_angle_alpha 90.00
_cell_angle_beta 90.00
_cell_angle_gamma 90.00
_space_group_name_H-M_alt 'P 4/m m m'
_space_group_IT_number 123
_space_group_name_Hall '-P 4 2'
loop_
_atom_site_label
_atom_site_type_symbol
_atom_site_fract_x
_atom_site_fract_y
_atom_site_fract_z
_atom_site_occupancy
Ag1 Ag 0.0000 0.0000 0.0000 1
Hg1 Hg 0.0000 0.5000 0.5000 1
Rh1 Rh 0.0000 0.0000 0.5000 1
Pb1 Pb 0.5000 0.5000 0.0000 1
```

[2]
# Dy8Al2Ga

A geometry-optimized Dy8Al2Ga structure (GGA-PBE, the Alexandria database).

Properties
Its total energy is -49.80 eV/f.u. As for the crystal system: monoclinic.

Geometry as CIF:
```
data_Dy8Al2Ga
_cell_length_a 18.3198
_cell_length_b 5.0641
_cell_length_c 6.7299
_cell_angle_alpha 90.00
_cell_angle_beta 103.56
_cell_angle_gamma 90.00
_space_group_name_H-M_alt 'C 1 2/m 1'
_space_group_IT_number 12
loop_
_space_group_symop_operation_xyz
'x,y,z'
'-x,-y,-z'
'-x,y,-z'
'x,-y,z'
'x+1/2,y+1/2,z'
'-x+1/2,-y+1/2,-z'
'-x+1/2,y+1/2,-z'
'x+1/2,-y+1/2,z'
loop_
_atom_site_label
_atom_site_type_symbol
_atom_site_fract_x
_atom_site_fract_y
_atom_site_fract_z
_atom_site_occupancy
Dy1 Dy 0.0212 0.0000 0.2687 1
Dy2 Dy 0.0935 0.5000 0.9610 1
Dy3 Dy 0.1566 0.5000 0.4678 1
Dy4 Dy 0.2067 0.0000 0.8012 1
Al1 Al 0.1872 0.0000 0.2421 1
Ga1 Ga 0.0000 0.5000 0.5000 1
```